MnGaCoAuSeO, relaxed, DFT PBE+U; distance to the lowest polymorph of the same formula = 17 meV per atom; total moment = 1.136 μB/atom; symmetry = No. 1; uncorrected energy = -29.93 eV per cell
1.0
-0.283 3.295 -2.127
-4.641 0.946 2.388
4.806 1.023 3.194
Se O Co Au Mn Ga
1 1 1 1 1 1
Direct
0.978 0.641 0.170
0.327 0.341 0.568
0.409 0.731 0.937
0.908 0.050 0.913
0.808 0.453 0.507
0.316 0.014 0.626